## KCuPO4 (GGA-PBEsol)

Data for KCuPO4 after structural relaxation.

## Properties
N(E_F) (states/eV/cell): 6.05
Uncorrected formation energy (kJ/mol of formula units): -1209
SG: P2_1
Volume (Å³ per cell): 391.46
ΔE to the lowest computed polymorph (meV/atom): 16

a b c (Å): 4.955 8.223 9.619
angles (deg): 90.00 90.00 92.88
Sites, in units of the cell vectors:
K: 0.762 0.743 0.773
K: 0.238 0.257 0.273
K: 0.780 0.230 0.624
K: 0.220 0.770 0.124
Cu: 0.238 0.421 0.906
Cu: 0.762 0.579 0.406
Cu: 0.648 0.095 0.005
Cu: 0.352 0.905 0.505
P: 0.249 0.543 0.588
P: 0.751 0.457 0.088
P: 0.263 0.062 0.815
P: 0.737 0.938 0.315
O: 0.556 0.518 0.569
O: 0.444 0.482 0.069
O: 0.199 0.726 0.610
O: 0.801 0.274 0.110
O: 0.143 0.448 0.716
O: 0.857 0.552 0.216
O: 0.911 0.528 0.960
O: 0.089 0.472 0.460
O: 0.309 0.058 0.657
O: 0.691 0.942 0.157
O: 0.963 0.059 0.848
O: 0.037 0.941 0.348
O: 0.425 0.222 0.872
O: 0.575 0.778 0.372
O: 0.415 0.931 0.898
O: 0.585 0.069 0.398